# 1
A relaxed CsTbB4 crystal. Source: the Open Quantum Materials Database, functional PBE.

```
data_CsTbB4
_cell_length_a 3.206
_cell_length_b 5.511
_cell_length_c 9.541
_cell_angle_alpha 90.00
_cell_angle_beta 90.00
_cell_angle_gamma 90.00
_symmetry_space_group_name_H-M 'I m m m'
_symmetry_Int_Tables_number 71
_symmetry_space_group_name_Hall '-I 2 2'
loop_
_atom_site_label
_atom_site_fract_x
_atom_site_fract_y
_atom_site_fract_z
_atom_site_occupancy
Cs1 0.000 0.000 0.000 1
Tb1 0.000 0.000 0.500 1
B1 0.000 0.334 0.244 1
```

Distance to the lowest polymorph of the same formula, eV per atom: 0.411


# 2
A relaxed PmPrIr crystal. Source: the Open Quantum Materials Database, functional PBE.

```
data_PmPrIr
_cell_length_a 6.822
_cell_length_b 6.822
_cell_length_c 6.822
_cell_angle_alpha 90.00
_cell_angle_beta 90.00
_cell_angle_gamma 90.00
_symmetry_space_group_name_H-M 'F -4 3 m'
_symmetry_Int_Tables_number 216
_symmetry_space_group_name_Hall 'F -4 2 3'
loop_
_atom_site_label
_atom_site_fract_x
_atom_site_fract_y
_atom_site_fract_z
_atom_site_occupancy
Pm1 0.000 0.000 0.000 1
Pr1 0.250 0.250 0.250 1
Ir1 0.250 0.250 0.750 1
```

Energy relative to the elements, meV/atom: 176
Distance to the lowest polymorph of the same formula, eV per atom: 0.000


# 3
A relaxed Zr3OsAu crystal. Source: the Open Quantum Materials Database, functional PBE.

```
data_Zr3OsAu
_cell_length_a 8.0023
_cell_length_b 8.0023
_cell_length_c 11.0305
_cell_angle_alpha 90.00
_cell_angle_beta 90.00
_cell_angle_gamma 120.00
_symmetry_space_group_name_H-M 'R -3 c'
_symmetry_Int_Tables_number 167
_symmetry_space_group_name_Hall '-R 3 2"c'
loop_
_atom_site_label
_atom_site_fract_x
_atom_site_fract_y
_atom_site_fract_z
_atom_site_occupancy
Zr1 0.0000 0.3530 0.2500 1
Os1 0.0000 0.0000 0.0000 1
Au1 0.0000 0.0000 0.2500 1
```

Energy relative to the elements, meV/atom: -274


# 4
A relaxed Zr2Sb crystal. Source: the Open Quantum Materials Database, functional PBE.

```
data_Zr2Sb
_cell_length_a 5.6510
_cell_length_b 5.6510
_cell_length_c 4.9003
_cell_angle_alpha 90.00
_cell_angle_beta 90.00
_cell_angle_gamma 120.00
_symmetry_space_group_name_H-M 'P -6 2 m'
_symmetry_Int_Tables_number 189
_symmetry_space_group_name_Hall 'P -6 -2'
loop_
_atom_site_label
_atom_site_fract_x
_atom_site_fract_y
_atom_site_fract_z
_atom_site_occupancy
Zr1 0.0000 0.0000 0.0000 1
Zr2 0.0000 0.3428 0.5000 1
Sb1 0.3333 0.6667 0.0000 1
```


# 5
A relaxed YMgTeAuSe2 crystal. Source: the Open Quantum Materials Database, functional PBE.

```
data_YMgTeAuSe2
_cell_length_a 3.899
_cell_length_b 13.816
_cell_length_c 10.879
_cell_angle_alpha 90.00
_cell_angle_beta 90.00
_cell_angle_gamma 90.00
_symmetry_space_group_name_H-M 'C m c m'
_symmetry_Int_Tables_number 63
_symmetry_space_group_name_Hall '-C 2c 2'
loop_
_atom_site_label
_atom_site_fract_x
_atom_site_fract_y
_atom_site_fract_z
_atom_site_occupancy
Y1 0.000 0.000 0.000 1
Mg1 0.000 0.196 0.250 1
Te1 0.000 0.124 0.750 1
Au1 0.000 0.478 0.750 1
Se1 0.000 0.354 0.567 1
```


# 6
A relaxed Ta4BiPbC2 crystal. Source: the Open Quantum Materials Database, functional PBE.

```
data_Ta4BiPbC2
_cell_length_a 3.3777
_cell_length_b 3.3777
_cell_length_c 13.6239
_cell_angle_alpha 90.00
_cell_angle_beta 90.00
_cell_angle_gamma 120.00
_symmetry_space_group_name_H-M 'P -6 m 2'
_symmetry_Int_Tables_number 187
_symmetry_space_group_name_Hall 'P -6 2'
loop_
_atom_site_label
_atom_site_fract_x
_atom_site_fract_y
_atom_site_fract_z
_atom_site_occupancy
Ta1 0.0000 0.0000 0.1719 1
Ta2 0.3333 0.6667 0.3260 1
Bi1 0.3333 0.6667 0.0000 1
Pb1 0.0000 0.0000 0.5000 1
C1 0.6667 0.3333 0.2483 1
```


no.,E_tot (eV per cell)
1,-57.48
2,-71.39
3,-249.01
4,-44.69
5,-109.11
6,-74.65